Entry from Alexandria: a relaxed NpBiRh2 crystal (PBE-GGA).

Geometry as POSCAR:
```
NpBiRh2
1.0
-3.159 1.263 -0.251
-0.744 -1.247 3.086
2.169 6.015 2.954
Rh Bi Np
2 1 1
direct
0.000 0.000 0.215 Rh
0.000 0.000 0.785 Rh
0.500 0.500 0.500 Bi
0.500 0.500 0.000 Np
```

Results
Space-group type: P4/mmm (123)
Energy relative to the elements, eV per atom: -0.132